TlIn2HgBr, relaxed, DFT PBE; symmetry = P4/mmm; magnetization = 0.000 μB per atom; formation energy (no corrections) = 0.083 eV/atom
1.0
5.7093 0.0000 0.0000
0.0000 5.7093 0.0000
0.0000 0.0000 6.4367
Br Hg In Tl
1 1 2 1
direct
0.0000 0.0000 0.5000 Br
0.0000 0.0000 0.0000 Hg
0.0000 0.5000 0.0000 In
0.5000 0.0000 0.0000 In
0.5000 0.5000 0.5000 Tl


Tl2In2HgBr6, relaxed, DFT PBE; symmetry = P-1; magnetization = 0.000 μB per atom; formation energy (no corrections) = -0.710 eV/atom
1.0
7.0256 0.1806 0.8864
3.7335 8.3638 0.3613
0.6836 -4.7723 8.3464
In Br Tl Hg
2 6 2 1
direct
0.9777 0.1619 0.1171 In
0.0223 0.8381 0.8829 In
0.7213 0.7773 0.0017 Br
0.3771 0.5141 0.8034 Br
0.6229 0.4859 0.1966 Br
0.2787 0.2227 0.9983 Br
0.0045 0.8528 0.6229 Br
0.9955 0.1472 0.3771 Br
0.9193 0.3319 0.7859 Tl
0.0807 0.6681 0.2141 Tl
0.5000 0.0000 0.5000 Hg